Record 1
Computed, not measured: crystalline AlV2SnO8 at its relaxed geometry at the GGA+U level of DFT.

The total energy comes out at -84.876 eV/f.u. The value obtained for the calculated volume is 13.404 Å³/atom.

Cell lengths 5.6079, 5.6079, 5.9060 Å; angles 90.00, 90.00, 120.00 degrees
Last column: nearest neighbours and their distance in Å.
Space group P-3m1 (No. 164)
Asymmetric unit:
Al 0.0000 0.0000 0.0000  6 O 1.92
V 0.3333 0.6667 0.2779  4 O 1.64-1.80
Sn 0.0000 0.0000 0.5000  6 O 2.31
O 0.1540 0.3080 0.2031  1 V 1.80, 1 Al 1.92
O 0.3333 0.6667 0.5550  1 V 1.64


Record 2
Computed, not measured: crystalline AlSnWO6 at its relaxed geometry at the GGA+U level of DFT.

The total energy comes out at -63.060 eV/f.u. The value obtained for the calculated volume is 11.794 Å³/atom.

Cell lengths 5.0898, 5.0898, 9.4622 Å; angles 90.00, 90.00, 120.00 degrees
Last column: nearest neighbours and their distance in Å.
Space group P-31c (No. 163)
Asymmetric unit:
Al 0.3333 0.6667 0.2500  6 O 1.92
Sn 0.0000 0.0000 0.0000  6 O 2.26
W 0.3333 0.6667 0.7500  6 O 1.96
O 0.0056 0.3660 0.1381  1 Al 1.92, 1 W 1.96


Record 3
Computed, not measured: crystalline AlSnW2O8 at its relaxed geometry at the GGA+U level of DFT.

Its excess energy over the best structure of this formula in the dataset is 106.4 meV/atom. The total energy comes out at -85.018 eV/f.u. The value obtained for the calculated volume is 12.448 Å³/atom.

Cell lengths 4.9592, 5.4480, 6.2539 Å; angles 112.87, 102.16, 95.19 degrees
Last column: nearest neighbours and their distance in Å.
Space group P1 (No. 1)
Asymmetric unit:
Al 0.0000 0.0000 0.0000  4 O 1.81-1.87
Sn 0.4605 0.5754 0.9978  4 O 2.25-2.36
W 0.2793 0.8678 0.5394  3 O 1.89-2.09
W 0.7400 0.4474 0.4851  5 O 1.86-2.08
O 0.1194 0.5957 0.6917  1 W 1.94
O 0.2057 0.1284 0.8409  1 Al 1.83, 1 W 2.00
O 0.2269 0.8859 0.1937  1 Al 1.81
O 0.3880 0.5059 0.3298  2 W 1.93-2.09
O 0.5876 0.2144 0.6025  1 W 1.87
O 0.6732 0.8015 0.7533  1 Al 1.87
O 0.8194 0.2020 0.2119  1 Al 1.82, 1 W 1.86
O 0.8920 0.7383 0.3802  2 W 1.89-2.08


Record 4
Computed, not measured: crystalline AlSnW2O8 at its relaxed geometry at the GGA+U level of DFT.

Its excess energy over the best structure of this formula in the dataset is 0.0 meV/atom. The total energy comes out at -86.294 eV/f.u. The value obtained for the calculated volume is 11.385 Å³/atom.

Cell lengths 5.1805, 5.6719, 10.5474 Å; angles 90.00, 118.16, 90.00 degrees
Last column: nearest neighbours and their distance in Å.
Space group P2/c (No. 13)
Asymmetric unit:
Al 0.0000 0.1626 0.2500  6 O 1.89-2.05
Sn 0.5000 0.1335 0.7500  6 O 2.04-2.11
W 0.2444 0.3490 0.9989  6 O 1.98-2.10
O 0.2013 0.1324 0.1406  1 Al 1.89, 1 W 2.03, 1 Sn 2.08
O 0.2091 0.3810 0.6199  1 Sn 2.04, 2 W 2.06-2.08
O 0.2640 0.1099 0.8669  1 W 1.98, 1 Al 2.05, 1 Sn 2.11
O 0.2983 0.3768 0.3848  1 Al 1.95, 2 W 2.06-2.10